A plane-wave DFT calculation with PBE+U was carried out for an optimized crystal structure of MnF4.

POSCAR file:
```
MnF4
1.0
4.8225 0.0000 0.0000
0.0000 9.3599 0.0000
0.0000 0.0000 2.9721
Mn F
2 8
Direct
0.0000 0.0000 0.0000
0.5000 0.5000 0.0000
0.1689 0.0963 0.5000
0.2268 0.3731 0.0000
0.2732 0.8731 0.0000
0.3311 0.5963 0.5000
0.6689 0.4037 0.5000
0.7268 0.1269 0.0000
0.7732 0.6269 0.0000
0.8311 0.9037 0.5000
```

Computed properties:
Symmetry: Pbam
Total DFT energy (no corrections), eV/atom: -4.966